Entry 1:
First-principles (PBE-GGA) data for a relaxed structure of Sm4TmS4, as listed in Alexandria.

Output
formation energy (no corrections): -15.84 eV/f.u.
symmetry: No. 87
energy: -6.188 eV per atom

abc: 6.825 6.825 6.825
angles: 99.86 99.86 131.10
Fractional coordinates of all 9 atoms:
Sm 0.099 0.700 0.799
Sm 0.300 0.099 0.400
Sm 0.700 0.901 0.600
Sm 0.901 0.300 0.201
Tm 0.500 0.500 0.000
S 0.206 0.403 0.609
S 0.403 0.794 0.197
S 0.597 0.206 0.803
S 0.794 0.597 0.391

Entry 2:
First-principles (PBE-GGA) data for a relaxed structure of SmTm4S6, as listed in Alexandria.

Output
formation energy (no corrections): -22.21 eV/f.u.
symmetry: No. 63
energy: -6.326 eV per atom

abc: 6.621 6.621 19.649
angles: 90.00 90.00 146.53
Fractional coordinates of all 22 atoms:
Sm 0.153 0.847 0.750
Sm 0.847 0.153 0.250
Tm 0.092 0.908 0.126
Tm 0.092 0.908 0.374
Tm 0.362 0.638 0.039
Tm 0.362 0.638 0.461
Tm 0.638 0.362 0.539
Tm 0.638 0.362 0.961
Tm 0.908 0.092 0.626
Tm 0.908 0.092 0.874
S 0.000 0.000 0.000
S 0.000 0.000 0.500
S 0.185 0.815 0.250
S 0.269 0.731 0.588
S 0.269 0.731 0.912
S 0.453 0.547 0.165
S 0.453 0.547 0.335
S 0.547 0.453 0.665
S 0.547 0.453 0.835
S 0.731 0.269 0.088
S 0.731 0.269 0.412
S 0.815 0.185 0.750

Q: Number 1 is which compound?
A: Sm4TmS4